Entry from Alexandria via LeMat-Bulk: YSnCl2 at its PBEsol-relaxed geometry (SCAN).

## Properties
total moment: 0.0 Bohr magnetons per cell
raw formation energy: -5.4 eV/f.u.

The structure in CIF format:
```
data_YSnCl2
_symmetry_space_group_name_H-M 'P 1'
_symmetry_Int_Tables_number 1
_symmetry_space_group_name_Hall 'P 1'
_cell_length_a 3.458
_cell_length_b 3.458
_cell_length_c 10.126
_cell_angle_alpha 80.17
_cell_angle_beta 80.17
_cell_angle_gamma 60.00
loop_
_atom_site_label
_atom_site_fract_x
_atom_site_fract_y
_atom_site_fract_z
Cl1 0.894 0.894 0.318
Cl2 0.106 0.106 0.682
Y1 0.500 0.500 0.500
Sn1 0.000 0.000 0.000
```



Entry from Alexandria via LeMat-Bulk: K2FeOs at its PBEsol-relaxed geometry (SCAN).

## Properties
distance to the lowest polymorph of the same formula: 0.000 eV/atom
total moment: 2.2 Bohr magnetons per cell
formation energy: 741.1 meV per atom

The structure in CIF format:
```
data_K2FeOs
_symmetry_space_group_name_H-M 'P 1'
_symmetry_Int_Tables_number 1
_symmetry_space_group_name_Hall 'P 1'
_cell_length_a 2.749
_cell_length_b 3.779
_cell_length_c 10.054
_cell_angle_alpha 90.00
_cell_angle_beta 90.00
_cell_angle_gamma 90.00
loop_
_atom_site_label
_atom_site_fract_x
_atom_site_fract_y
_atom_site_fract_z
K1 0.500 0.500 0.341
K2 0.000 0.000 0.908
Fe1 0.500 0.500 0.659
Os1 0.000 0.000 0.591
```



Entry from Alexandria via LeMat-Bulk: FePt2Au at its PBEsol-relaxed geometry (SCAN).

## Properties
distance to the lowest polymorph of the same formula: 0.047 eV/atom
total moment: 3.8 Bohr magnetons per cell
formation energy: -186.7 meV per atom

The structure in CIF format:
```
data_FePt2Au
_symmetry_space_group_name_H-M 'P 1'
_symmetry_Int_Tables_number 1
_symmetry_space_group_name_Hall 'P 1'
_cell_length_a 2.751
_cell_length_b 2.751
_cell_length_c 9.155
_cell_angle_alpha 81.36
_cell_angle_beta 81.36
_cell_angle_gamma 60.00
loop_
_atom_site_label
_atom_site_fract_x
_atom_site_fract_y
_atom_site_fract_z
Au1 0.500 0.500 0.500
Pt1 0.743 0.743 0.771
Pt2 0.257 0.257 0.229
Fe1 0.000 0.000 0.000
```



Entry from Alexandria via LeMat-Bulk: LiO2F2 at its PBEsol-relaxed geometry (SCAN).

## Properties
distance to the lowest polymorph of the same formula: 0.258 eV/atom
total moment: 5.0 Bohr magnetons per cell
raw formation energy: -0.8 eV/f.u.

The structure in CIF format:
```
data_LiO2F2
_symmetry_space_group_name_H-M 'P 1'
_symmetry_Int_Tables_number 1
_symmetry_space_group_name_Hall 'P 1'
_cell_length_a 3.676
_cell_length_b 3.676
_cell_length_c 3.864
_cell_angle_alpha 90.00
_cell_angle_beta 90.00
_cell_angle_gamma 90.00
loop_
_atom_site_label
_atom_site_fract_x
_atom_site_fract_y
_atom_site_fract_z
F1 0.000 0.500 0.000
F2 0.500 0.000 0.000
Li1 0.000 0.000 0.000
O1 0.500 0.500 0.500
O2 0.000 0.000 0.500
```



Entry from Alexandria via LeMat-Bulk: K2Na2Hg at its PBEsol-relaxed geometry (SCAN).

## Properties
distance to the lowest polymorph of the same formula: 0.000 eV/atom
total moment: 0.0 Bohr magnetons per cell
formation energy: -74.3 meV per atom

The structure in CIF format:
```
data_K2Na2Hg
_symmetry_space_group_name_H-M 'P 1'
_symmetry_Int_Tables_number 1
_symmetry_space_group_name_Hall 'P 1'
_cell_length_a 6.150
_cell_length_b 8.153
_cell_length_c 8.153
_cell_angle_alpha 90.00
_cell_angle_beta 90.00
_cell_angle_gamma 90.00
loop_
_atom_site_label
_atom_site_fract_x
_atom_site_fract_y
_atom_site_fract_z
K1 0.500 0.685 0.815
K2 0.500 0.815 0.315
K3 0.500 0.185 0.685
K4 0.500 0.315 0.185
Na1 0.000 0.352 0.852
Na2 0.000 0.648 0.148
Na3 0.000 0.852 0.648
Na4 0.000 0.148 0.352
Hg1 0.000 0.500 0.500
Hg2 0.000 0.000 0.000
```



Entry from Alexandria via LeMat-Bulk: Cu4P3O12 at its PBEsol-relaxed geometry (SCAN).

## Properties
total moment: 6.0 Bohr magnetons per cell
raw formation energy: -32.4 eV/f.u.

The structure in CIF format:
```
data_Cu4P3O12
_symmetry_space_group_name_H-M 'P 1'
_symmetry_Int_Tables_number 1
_symmetry_space_group_name_Hall 'P 1'
_cell_length_a 6.265
_cell_length_b 8.552
_cell_length_c 8.552
_cell_angle_alpha 91.75
_cell_angle_beta 74.18
_cell_angle_gamma 74.18
loop_
_atom_site_label
_atom_site_fract_x
_atom_site_fract_y
_atom_site_fract_z
O1 0.732 0.722 0.478
O2 0.641 0.812 0.808
O3 0.820 0.590 0.962
O4 0.680 0.038 0.410
O5 0.468 0.188 0.749
O6 0.603 0.338 0.003
O7 0.181 0.730 0.509
O8 0.897 0.997 0.662
O9 0.532 0.812 0.251
O10 0.681 0.509 0.730
O11 0.320 0.962 0.590
O12 0.032 0.251 0.812
O13 0.319 0.491 0.270
O14 0.103 0.003 0.338
O15 0.968 0.749 0.188
O16 0.268 0.278 0.522
O17 0.359 0.188 0.192
O18 0.859 0.192 0.188
O19 0.232 0.478 0.722
O20 0.819 0.270 0.491
O21 0.397 0.662 0.997
O22 0.768 0.522 0.278
O23 0.180 0.410 0.038
O24 0.141 0.808 0.812
P1 0.634 0.649 0.868
P2 0.750 0.711 0.289
P3 0.866 0.132 0.351
P4 0.250 0.289 0.711
P5 0.134 0.868 0.649
P6 0.366 0.351 0.132
Cu1 0.750 0.239 0.761
Cu2 0.750 0.500 0.500
Cu3 0.133 0.625 0.936
Cu4 0.250 0.500 0.500
Cu5 0.250 0.761 0.239
Cu6 0.867 0.375 0.064
Cu7 0.367 0.064 0.375
Cu8 0.633 0.936 0.625
```



Entry from Alexandria via LeMat-Bulk: Ta3W at its PBEsol-relaxed geometry (SCAN).

## Properties
total moment: 0.0 Bohr magnetons per cell
formation energy: -39.4 meV per atom

The structure in CIF format:
```
data_Ta3W
_symmetry_space_group_name_H-M 'P 1'
_symmetry_Int_Tables_number 1
_symmetry_space_group_name_Hall 'P 1'
_cell_length_a 2.814
_cell_length_b 4.587
_cell_length_c 5.363
_cell_angle_alpha 90.00
_cell_angle_beta 100.16
_cell_angle_gamma 90.00
loop_
_atom_site_label
_atom_site_fract_x
_atom_site_fract_y
_atom_site_fract_z
W1 0.000 0.500 0.500
Ta1 0.238 0.000 0.254
Ta2 0.762 0.000 0.746
Ta3 0.500 0.500 0.000
```



Entry from Alexandria via LeMat-Bulk: Fe2AgPb at its PBEsol-relaxed geometry (SCAN).

## Properties
total moment: 5.6 Bohr magnetons per cell
formation energy: 299.9 meV per atom

The structure in CIF format:
```
data_Fe2AgPb
_symmetry_space_group_name_H-M 'P 1'
_symmetry_Int_Tables_number 1
_symmetry_space_group_name_Hall 'P 1'
_cell_length_a 3.101
_cell_length_b 3.100
_cell_length_c 6.879
_cell_angle_alpha 90.04
_cell_angle_beta 90.00
_cell_angle_gamma 90.00
loop_
_atom_site_label
_atom_site_fract_x
_atom_site_fract_y
_atom_site_fract_z
Fe1 0.000 0.000 0.040
Fe2 0.500 0.500 0.191
Pb1 0.000 0.001 0.471
Ag1 0.500 0.499 0.798
```



Per-record calculated volume, Å³/f.u.: 103, 104, 59, 52, 204, 211, 68, 66